Version i
The following is a PBE calculation of a geometry-optimized TiSnSb structure, from the Alexandria database.

Geometry as CIF:
```
data_TiSnSb
_cell_length_a 6.8449
_cell_length_b 6.8449
_cell_length_c 6.8449
_cell_angle_alpha 90.00
_cell_angle_beta 90.00
_cell_angle_gamma 90.00
_space_group_name_H-M_alt 'P 1'
_space_group_IT_number 1
loop_
_space_group_symop_operation_xyz
'x,y,z'
loop_
_atom_site_label
_atom_site_fract_x
_atom_site_fract_y
_atom_site_fract_z
Ti1 0.0056 0.0056 0.0056
Ti2 0.4944 0.9944 0.5056
Ti3 0.5056 0.4944 0.9944
Ti4 0.9944 0.5056 0.4944
Sn1 0.1034 0.6034 0.8966
Sn2 0.3966 0.3966 0.3966
Sn3 0.6034 0.8966 0.1034
Sn4 0.8966 0.1034 0.6034
Sb1 0.1480 0.8520 0.3520
Sb2 0.3520 0.1480 0.8520
Sb3 0.6480 0.6480 0.6480
Sb4 0.8520 0.3520 0.1480
```

spin magnetization: 0.000 μB per atom

Version ii
The following is a PBE calculation of a geometry-optimized TiSnSb structure, from the Alexandria database.

Geometry as CIF:
```
data_TiSnSb
_cell_length_a 3.9710
_cell_length_b 3.9710
_cell_length_c 8.4215
_cell_angle_alpha 90.00
_cell_angle_beta 90.00
_cell_angle_gamma 90.00
_space_group_name_H-M_alt 'P 1'
_space_group_IT_number 1
loop_
_space_group_symop_operation_xyz
'x,y,z'
loop_
_atom_site_label
_atom_site_fract_x
_atom_site_fract_y
_atom_site_fract_z
Ti1 0.2500 0.2500 0.2350
Ti2 0.7500 0.7500 0.7650
Sn1 0.2500 0.7500 0.5000
Sn2 0.7500 0.2500 0.5000
Sb1 0.2500 0.2500 0.8837
Sb2 0.7500 0.7500 0.1163
```

spin magnetization: 0.000 μB per atom

Winner for stability: version ii

Version i
The following is a PBE calculation of a geometry-optimized Ti2SnSb2 structure, from the Alexandria database.

Geometry as CIF:
```
data_Ti2SnSb2
_cell_length_a 7.5383
_cell_length_b 7.5383
_cell_length_c 3.7681
_cell_angle_alpha 90.00
_cell_angle_beta 90.00
_cell_angle_gamma 90.00
_space_group_name_H-M_alt 'P 1'
_space_group_IT_number 1
loop_
_space_group_symop_operation_xyz
'x,y,z'
loop_
_atom_site_label
_atom_site_fract_x
_atom_site_fract_y
_atom_site_fract_z
Ti1 0.1429 0.3571 0.0000
Ti2 0.3571 0.8571 0.0000
Ti3 0.6429 0.1429 0.0000
Ti4 0.8571 0.6429 0.0000
Sn1 0.0000 0.0000 0.0000
Sn2 0.5000 0.5000 0.0000
Sb1 0.1522 0.6522 0.5000
Sb2 0.3478 0.1522 0.5000
Sb3 0.6522 0.8478 0.5000
Sb4 0.8478 0.3478 0.5000
```

spin magnetization: 0.000 μB per atom

Version ii
The following is a PBE calculation of a geometry-optimized Ti2SnSb2 structure, from the Alexandria database.

Geometry as CIF:
```
data_Ti2SnSb2
_cell_length_a 4.8984
_cell_length_b 4.9345
_cell_length_c 5.5391
_cell_angle_alpha 89.55
_cell_angle_beta 89.82
_cell_angle_gamma 60.43
_space_group_name_H-M_alt 'P 1'
_space_group_IT_number 1
loop_
_space_group_symop_operation_xyz
'x,y,z'
loop_
_atom_site_label
_atom_site_fract_x
_atom_site_fract_y
_atom_site_fract_z
Ti1 0.1667 0.1644 0.1094
Ti2 0.8333 0.8356 0.8906
Sn1 0.5000 0.5000 0.0000
Sb1 0.1663 0.1689 0.6233
Sb2 0.8337 0.8311 0.3767
```

spin magnetization: 0.000 μB per atom

Version iii
The following is a PBE calculation of a geometry-optimized Ti2SnSb2 structure, from the Alexandria database.

Geometry as CIF:
```
data_Ti2SnSb2
_cell_length_a 6.0095
_cell_length_b 6.0095
_cell_length_c 6.0095
_cell_angle_alpha 130.40
_cell_angle_beta 130.40
_cell_angle_gamma 72.77
_space_group_name_H-M_alt 'P 1'
_space_group_IT_number 1
loop_
_space_group_symop_operation_xyz
'x,y,z'
loop_
_atom_site_label
_atom_site_fract_x
_atom_site_fract_y
_atom_site_fract_z
Ti1 0.2500 0.7500 0.5000
Ti2 0.7500 0.2500 0.5000
Sn1 0.0000 0.0000 0.0000
Sb1 0.3564 0.3564 0.0000
Sb2 0.6436 0.6436 0.0000
```

spin magnetization: 0.000 μB per atom

Winner for stability: version i

Version i
The following is a PBE calculation of a geometry-optimized Ti2SnSb2 structure, from the Alexandria database.

Geometry as CIF:
```
data_Ti2SnSb2
_cell_length_a 7.4459
_cell_length_b 5.3269
_cell_length_c 12.0584
_cell_angle_alpha 90.00
_cell_angle_beta 90.00
_cell_angle_gamma 90.00
_space_group_name_H-M_alt 'P 1'
_space_group_IT_number 1
loop_
_space_group_symop_operation_xyz
'x,y,z'
loop_
_atom_site_label
_atom_site_fract_x
_atom_site_fract_y
_atom_site_fract_z
Ti1 0.0575 0.2500 0.2499
Ti2 0.0728 0.2500 0.5863
Ti3 0.4272 0.7500 0.0863
Ti4 0.4425 0.7500 0.7499
Ti5 0.5575 0.2500 0.2501
Ti6 0.5728 0.2500 0.9137
Ti7 0.9272 0.7500 0.4137
Ti8 0.9425 0.7500 0.7501
Sn1 0.1758 0.7500 0.9202
Sn2 0.3242 0.2500 0.4202
Sn3 0.6758 0.7500 0.5798
Sn4 0.8242 0.2500 0.0798
Sb1 0.0674 0.7500 0.2005
Sb2 0.1961 0.7500 0.5732
Sb3 0.3039 0.2500 0.0732
Sb4 0.4326 0.2500 0.7005
Sb5 0.5674 0.7500 0.2995
Sb6 0.6961 0.7500 0.9268
Sb7 0.8039 0.2500 0.4268
Sb8 0.9326 0.2500 0.7995
```

spin magnetization: 0.000 μB per atom

Version ii
The following is a PBE calculation of a geometry-optimized Ti2SnSb2 structure, from the Alexandria database.

Geometry as CIF:
```
data_Ti2SnSb2
_cell_length_a 8.0444
_cell_length_b 8.0444
_cell_length_c 3.5029
_cell_angle_alpha 90.00
_cell_angle_beta 90.00
_cell_angle_gamma 90.00
_space_group_name_H-M_alt 'P 1'
_space_group_IT_number 1
loop_
_space_group_symop_operation_xyz
'x,y,z'
loop_
_atom_site_label
_atom_site_fract_x
_atom_site_fract_y
_atom_site_fract_z
Ti1 0.1337 0.3663 0.0000
Ti2 0.3663 0.8663 0.0000
Ti3 0.6337 0.1337 0.0000
Ti4 0.8663 0.6337 0.0000
Sn1 0.0000 0.0000 0.5000
Sn2 0.5000 0.5000 0.5000
Sb1 0.1508 0.6508 0.5000
Sb2 0.3492 0.1508 0.5000
Sb3 0.6508 0.8492 0.5000
Sb4 0.8492 0.3492 0.5000
```

spin magnetization: 0.000 μB per atom

Winner for stability: version i

Version i
The following is a PBE calculation of a geometry-optimized Ti2Sn2Sb structure, from the Alexandria database.

Geometry as CIF:
```
data_Ti2Sn2Sb
_cell_length_a 7.6168
_cell_length_b 7.6168
_cell_length_c 7.6168
_cell_angle_alpha 149.81
_cell_angle_beta 149.81
_cell_angle_gamma 43.22
_space_group_name_H-M_alt 'P 1'
_space_group_IT_number 1
loop_
_space_group_symop_operation_xyz
'x,y,z'
loop_
_atom_site_label
_atom_site_fract_x
_atom_site_fract_y
_atom_site_fract_z
Ti1 0.0954 0.0954 0.0000
Ti2 0.9046 0.9046 0.0000
Sn1 0.2500 0.7500 0.5000
Sn2 0.7500 0.2500 0.5000
Sb1 0.5000 0.5000 0.0000
```

spin magnetization: 0.162 μB per atom

Version ii
The following is a PBE calculation of a geometry-optimized Ti2Sn2Sb structure, from the Alexandria database.

Geometry as CIF:
```
data_Ti2Sn2Sb
_cell_length_a 8.5510
_cell_length_b 8.5510
_cell_length_c 3.0710
_cell_angle_alpha 90.00
_cell_angle_beta 90.00
_cell_angle_gamma 90.00
_space_group_name_H-M_alt 'P 1'
_space_group_IT_number 1
loop_
_space_group_symop_operation_xyz
'x,y,z'
loop_
_atom_site_label
_atom_site_fract_x
_atom_site_fract_y
_atom_site_fract_z
Ti1 0.1170 0.3830 0.0000
Ti2 0.3830 0.8830 0.0000
Ti3 0.6170 0.1170 0.0000
Ti4 0.8830 0.6170 0.0000
Sn1 0.1735 0.6735 0.5000
Sn2 0.3265 0.1735 0.5000
Sn3 0.6735 0.8265 0.5000
Sn4 0.8265 0.3265 0.5000
Sb1 0.0000 0.0000 0.5000
Sb2 0.5000 0.5000 0.5000
```

spin magnetization: 0.000 μB per atom

Version iii
The following is a PBE calculation of a geometry-optimized Ti2Sn2Sb structure, from the Alexandria database.

Geometry as CIF:
```
data_Ti2Sn2Sb
_cell_length_a 7.2279
_cell_length_b 7.2279
_cell_length_c 4.1165
_cell_angle_alpha 90.00
_cell_angle_beta 90.00
_cell_angle_gamma 90.00
_space_group_name_H-M_alt 'P 1'
_space_group_IT_number 1
loop_
_space_group_symop_operation_xyz
'x,y,z'
loop_
_atom_site_label
_atom_site_fract_x
_atom_site_fract_y
_atom_site_fract_z
Ti1 0.1450 0.3550 0.0000
Ti2 0.3550 0.8550 0.0000
Ti3 0.6450 0.1450 0.0000
Ti4 0.8550 0.6450 0.0000
Sn1 0.1553 0.6553 0.5000
Sn2 0.3447 0.1553 0.5000
Sn3 0.6553 0.8447 0.5000
Sn4 0.8447 0.3447 0.5000
Sb1 0.0000 0.0000 0.0000
Sb2 0.5000 0.5000 0.0000
```

spin magnetization: 0.000 μB per atom

Winner for stability: version iii